# GGA-PBE YScSb2Ru, relaxed
# Uncorrected energy, eV per formula unit: -25.5
# Formation energy from raw total energies, eV per atom: 0.957
# N(E_F), states/eV/cell: 5.40
# Crystal system: tetragonal
data_YScSb2Ru
_cell_length_a 5.297
_cell_length_b 5.297
_cell_length_c 5.218
_cell_angle_alpha 90.00
_cell_angle_beta 90.00
_cell_angle_gamma 90.00
_symmetry_space_group_name_H-M 'P 4/m m m'
_symmetry_Int_Tables_number 123
_symmetry_space_group_name_Hall '-P 4 2'
loop_
_atom_site_label
_atom_site_fract_x
_atom_site_fract_y
_atom_site_fract_z
Y1 0.000 0.000 0.000
Sc1 0.000 0.000 0.500
Sb1 0.000 0.500 0.500
Ru1 0.500 0.500 0.000